This record from the Alexandria database describes a relaxed structure of HoTh3Pb4. The functional is PBE.

VASP energy, eV/atom: -5.48
Magnetization, μB per formula unit: 0.00
Formation energy, eV per atom: -0.27
Density, g cm⁻³: 10.52
Space group: Pmmn

```
HoTh3Pb4
1.0
6.440 0.000 0.000
0.000 12.862 0.000
0.000 0.000 6.440
Ho Th Pb
2 6 8
direct
0.250 0.250 0.249
0.750 0.750 0.751
0.250 0.000 0.750
0.250 0.500 0.750
0.250 0.750 0.251
0.750 0.000 0.250
0.750 0.250 0.749
0.750 0.500 0.250
0.250 0.003 0.250
0.250 0.250 0.749
0.250 0.497 0.250
0.250 0.750 0.751
0.750 0.250 0.249
0.750 0.503 0.750
0.750 0.750 0.251
0.750 0.997 0.750
```